{
  "formula": "Dy7TlRu2",
  "functional": "PBE-GGA",
  "state": "relaxed",
  "vol_a3_per_atom": 31.5,
  "magnetic_moment_mub_per_fu": 0.0,
  "delta_e_f_mev_per_atom": -102,
  "final_energy_ev_per_atom": -5.42,
  "density_g_cm3": 8.1,
  "lattice": [[4.425, -6.801, 0.000], [4.425, 6.801, 0.000], [0.000, 0.000, 5.231]],
  "species": ["Dy", "Dy", "Dy", "Dy", "Dy", "Dy", "Dy", "Tl", "Ru", "Ru"],
  "fractional_positions": [[0.000, 0.000, 0.000], [0.182, 0.447, 0.000], [0.218, 0.782, 0.500], [0.447, 0.182, 0.000], [0.553, 0.818, 0.000], [0.782, 0.218, 0.500], [0.818, 0.553, 0.000], [0.500, 0.500, 0.500], [0.199, 0.801, 0.000], [0.801, 0.199, 0.000]]
}


{
  "formula": "KAc4Te5",
  "functional": "PBE-GGA",
  "state": "relaxed",
  "vol_a3_per_atom": 38.4,
  "magnetic_moment_mub_per_fu": 0.0,
  "final_energy_ev_per_atom": -4.81,
  "density_g_cm3": 6.9,
  "raw_formation_energy_ev_per_atom": -1.4841,
  "e_above_lowest_polymorph_mev_per_atom": 5.5,
  "lattice": [[-2.377, 3.358, 12.032], [2.377, -3.358, 12.032], [2.377, 3.358, -12.032]],
  "species": ["K", "Ac", "Ac", "Ac", "Ac", "Te", "Te", "Te", "Te", "Te"],
  "fractional_positions": [[0.000, 0.000, 0.000], [0.204, 0.204, 0.000], [0.400, 0.400, 0.000], [0.600, 0.600, 0.000], [0.796, 0.796, 0.000], [0.105, 0.605, 0.500], [0.302, 0.802, 0.500], [0.500, 0.000, 0.500], [0.698, 0.198, 0.500], [0.895, 0.395, 0.500]]
}


{
  "formula": "Co2RuBr",
  "functional": "PBE-GGA",
  "state": "relaxed",
  "vol_a3_per_atom": 14.2,
  "magnetic_moment_mub_per_fu": 4.7,
  "final_energy_ev_per_atom": -5.34,
  "density_g_cm3": 8.7,
  "raw_formation_energy_ev_per_atom": 0.9502,
  "e_above_lowest_polymorph_mev_per_atom": 424.3,
  "lattice": [[-1.888, 1.888, 3.983], [1.888, -1.888, 3.983], [1.888, 1.888, -3.983]],
  "species": ["Co", "Co", "Ru", "Br"],
  "fractional_positions": [[0.250, 0.750, 0.500], [0.750, 0.250, 0.500], [0.000, 0.000, 0.000], [0.500, 0.500, 0.000]]
}


{
  "formula": "NaYB2N",
  "functional": "PBE-GGA",
  "state": "relaxed",
  "vol_a3_per_atom": 14.0,
  "magnetic_moment_mub_per_fu": 0.0,
  "final_energy_ev_per_atom": -4.78,
  "density_g_cm3": 3.5,
  "raw_formation_energy_ev_per_atom": 1.1105,
  "lattice": [[3.986, 0.000, 0.000], [0.000, 3.986, 0.000], [0.000, 0.000, 4.402]],
  "species": ["Na", "Y", "B", "B", "N"],
  "fractional_positions": [[0.000, 0.000, 0.000], [0.500, 0.500, 0.000], [0.000, 0.500, 0.500], [0.500, 0.000, 0.500], [0.500, 0.500, 0.500]]
}